Entry A
Below is a relaxed structure of Li3AlRe, with properties calculated at the PBE level.

Output
- Space group: No. 221
- D(E_F): 11.3 states/eV per cell

```
Li3AlRe
1.0
4.796 0.000 0.000
0.000 4.796 0.000
0.000 0.000 4.796
Li Al Re
3 1 1
Cartesian
0.000 0.000 2.398
0.000 2.398 0.000
2.398 0.000 0.000
2.398 2.398 2.398
0.000 0.000 0.000
```

***

Entry B
Below is a relaxed structure of Li3AlRe, with properties calculated at the PBE level.

Output
- Space group: No. 221
- D(E_F): 4.7 states/eV per cell

```
Li3AlRe
1.0
4.277 0.000 0.000
0.000 4.277 0.000
0.000 0.000 4.277
Li Al Re
3 1 1
Cartesian
0.000 0.000 2.139
0.000 2.139 0.000
2.139 0.000 0.000
0.000 0.000 0.000
2.139 2.139 2.139
```

***

Stability, descending: entry B, entry A

***

Entry A
Below is a relaxed structure of LiAl2Rh2, with properties calculated at the PBE level.

Output
- Space group: No. 127
- D(E_F): 3.4 states/eV per cell

```
LiAl2Rh2
1.0
7.099 0.000 0.000
0.000 7.099 0.000
0.000 0.000 2.920
Li Al Rh
2 4 4
Cartesian
0.000 0.000 0.000
3.549 3.549 0.000
1.037 2.512 1.460
2.512 6.061 1.460
4.587 1.037 1.460
6.061 4.587 1.460
1.067 4.616 0.000
2.483 1.067 0.000
4.616 6.032 0.000
6.032 2.483 0.000
```

***

Entry B
Below is a relaxed structure of LiAl2Rh2, with properties calculated at the PBE level.

Output
- Space group: No. 127
- D(E_F): 3.5 states/eV per cell

```
LiAl2Rh2
1.0
7.092 0.000 0.000
0.000 7.092 0.000
0.000 0.000 2.905
Li Al Rh
2 4 4
Cartesian
0.000 0.000 0.000
3.546 3.546 0.000
0.986 2.561 0.000
2.561 6.107 0.000
4.532 0.986 0.000
6.107 4.532 0.000
1.114 4.660 1.453
2.432 1.114 1.453
4.660 5.978 1.453
5.978 2.432 1.453
```

***

Entry C
Below is a relaxed structure of LiAl2Rh2, with properties calculated at the PBE level.

Output
- Space group: No. 139
- D(E_F): 3.2 states/eV per cell

```
LiAl2Rh2
1.0
3.899 0.000 0.000
0.000 3.899 0.000
0.000 0.000 11.085
Li Al Rh
2 4 4
Cartesian
0.000 0.000 0.000
1.949 1.949 5.543
0.000 1.949 2.771
0.000 1.949 8.314
1.949 0.000 2.771
1.949 0.000 8.314
0.000 0.000 4.263
0.000 0.000 6.822
1.949 1.949 1.280
1.949 1.949 9.806
```

***

Stability, descending: entry B, entry A, entry C

***

Entry A
Below is a relaxed structure of LiAl3Rh, with properties calculated at the PBE level.

Output
- Space group: No. 4
- D(E_F): 2.9 states/eV per cell

```
LiAl3Rh
1.0
4.376 0.000 0.000
0.000 4.375 0.000
-2.172 0.000 7.410
Li Al Rh
2 6 2
Cartesian
0.004 0.000 2.299
2.201 2.188 5.111
0.004 2.189 0.862
0.007 2.185 3.702
0.016 2.182 6.583
2.189 4.370 0.827
2.197 4.373 3.708
2.200 0.002 6.548
0.011 4.370 5.239
2.193 2.183 2.171
```

***

Entry B
Below is a relaxed structure of LiAl3Rh, with properties calculated at the PBE level.

Output
- Space group: No. 221
- D(E_F): 2.2 states/eV per cell

```
LiAl3Rh
1.0
4.716 0.000 0.000
0.000 4.716 0.000
0.000 0.000 4.716
Li Al Rh
1 3 1
Cartesian
0.000 0.000 0.000
0.000 2.358 2.358
2.358 0.000 2.358
2.358 2.358 0.000
2.358 2.358 2.358
```

***

Stability, descending: entry A, entry B

***

Entry A
Below is a relaxed structure of LiAl4Rh, with properties calculated at the PBE level.

Output
- Space group: No. 15
- D(E_F): 4.6 states/eV per cell

```
LiAl4Rh
1.0
3.025 -4.417 0.000
3.025 4.417 0.000
-2.994 0.000 7.084
Li Al Rh
2 8 2
Cartesian
0.779 3.309 5.313
2.277 -3.309 1.771
2.291 3.263 0.385
2.262 3.263 3.157
0.740 1.050 3.929
0.819 1.050 6.697
2.237 -1.050 0.387
2.316 -1.050 3.155
0.794 -3.263 3.928
0.765 -3.263 6.699
2.277 1.110 1.771
0.779 -1.110 5.313
```

***

Entry B
Below is a relaxed structure of LiAl4Rh, with properties calculated at the PBE level.

Output
- Space group: No. 216
- D(E_F): 2.8 states/eV per cell

```
LiAl4Rh
1.0
0.000 3.614 3.614
3.614 0.000 3.614
3.614 3.614 0.000
Li Al Rh
1 4 1
Cartesian
0.000 0.000 0.000
2.712 2.712 2.712
4.516 4.516 2.712
4.516 2.712 4.516
2.712 4.516 4.516
5.421 5.421 5.421
```

***

Stability, descending: entry A, entry B